Record 1
CeDy6Y2Ho3 after structural relaxation. Source: the Alexandria database, functional PBE-GGA.

Computed properties:
raw total energy: -4.98 eV/atom
magnetic moment: 1.16 μB/f.u.

Cell: 6.139 10.628 11.752 Å, 90.00 100.01 90.00°
Space group C2/m (No. 12)
Unique sites:
Ce (0.000, 0.000, 0.000) x2
Dy (0.247, 0.000, 0.749) x4
Dy (0.249, 0.165, 0.251) x8
Y (0.000, 0.333, 0.000) x4
Ho (0.000, 0.167, 0.500) x4
Ho (0.000, 0.500, 0.500) x2

---

Record 2
CeDy2Y6Ho3 after structural relaxation. Source: the Alexandria database, functional PBE-GGA.

Computed properties:
raw total energy: -5.60 eV/atom
magnetic moment: 1.12 μB/f.u.

Cell: 6.162 10.666 11.780 Å, 90.00 100.03 90.00°
Space group C2/m (No. 12)
Unique sites:
Ce (0.000, 0.000, 0.000) x2
Dy (0.000, 0.333, 0.000) x4
Y (0.248, 0.000, 0.750) x4
Y (0.249, 0.166, 0.250) x8
Ho (0.000, 0.167, 0.500) x4
Ho (0.000, 0.500, 0.500) x2

---

Record 3
CeDy3Y2Ho6 after structural relaxation. Source: the Alexandria database, functional PBE-GGA.

Computed properties:
raw total energy: -4.97 eV/atom
magnetic moment: 1.12 μB/f.u.

Cell: 6.131 10.614 11.727 Å, 90.00 100.02 90.00°
Space group C2/m (No. 12)
Unique sites:
Ce (0.000, 0.000, 0.000) x2
Dy (0.000, 0.167, 0.500) x4
Dy (0.000, 0.500, 0.500) x2
Y (0.000, 0.333, 0.000) x4
Ho (0.247, 0.000, 0.749) x4
Ho (0.249, 0.165, 0.251) x8

---

Record 4
Ce2DyY3Ho6 after structural relaxation. Source: the Alexandria database, functional PBE-GGA.

Computed properties:
raw total energy: -5.23 eV/atom
magnetic moment: 1.78 μB/f.u.

Cell: 6.125 10.606 11.719 Å, 90.00 100.03 90.00°
Space group C2/m (No. 12)
Unique sites:
Ce (0.000, 0.167, 0.000) x4
Dy (0.000, 0.500, 0.000) x2
Y (0.000, 0.000, 0.500) x2
Y (0.000, 0.334, 0.500) x4
Ho (0.248, 0.000, 0.248) x4
Ho (0.249, 0.168, 0.752) x8

---

Record 5
CeDyHoZr after structural relaxation. Source: the Alexandria database, functional PBE-GGA.

Computed properties:
raw total energy: -5.69 eV/atom
magnetic moment: 2.19 μB/f.u.

Cell: 7.722 7.722 7.722 Å, 90.00 90.00 90.00°
Space group F-43m (No. 216)
Unique sites:
Ce (0.000, 0.000, 0.000) x4
Dy (0.250, 0.250, 0.750) x4
Ho (0.000, 0.000, 0.500) x4
Zr (0.250, 0.250, 0.250) x4

---

Record 6
CeDyI6 after structural relaxation. Source: the Alexandria database, functional PBE-GGA.

Computed properties:
excess energy over the best structure of this formula in the dataset: 22 meV per atom
raw total energy: -3.79 eV/atom
magnetic moment: 1.00 μB/f.u.
uncorrected formation energy: -30.19 kcal/mol of atoms

Cell: 7.7455 7.7455 21.1313 Å, 90.00 90.00 120.00°
Space group R-3 (No. 148, hexagonal axes)
Unique sites:
Ce (0.0000, 0.0000, 0.0000) x3
Dy (0.0000, 0.0000, 0.5000) x3
I (0.0039, 0.6784, 0.5817) x18